No. 1
# CuSbTe2

A geometry-optimized CuSbTe2 structure (GGA-PBE, the Alexandria database).

POSCAR file:
```
CuSbTe2
1.0
2.205 1.273 7.715
-2.205 1.273 7.715
0.000 -2.546 7.715
Cu Sb Te
1 1 2
direct
0.000 0.000 0.000 Cu
0.522 0.522 0.522 Sb
0.115 0.115 0.115 Te
0.652 0.652 0.652 Te
```

Summary:
For the volume, the calculation gives 130 Å³/cell. As for the total energy: -3.54 eV/atom.


No. 2
# Cu2SbTe

A geometry-optimized Cu2SbTe structure (GGA-PBE, the Alexandria database).

POSCAR file:
```
Cu2SbTe
1.0
4.596 0.000 0.000
0.000 4.596 0.000
0.000 0.000 3.772
Cu Sb Te
2 1 1
direct
0.000 0.500 0.000 Cu
0.500 0.000 0.000 Cu
0.000 0.000 0.500 Sb
0.500 0.500 0.500 Te
```

Summary:
For the volume, the calculation gives 80 Å³/cell. As for the total energy: -3.51 eV/atom.


No. 3
# Cu2SbTe

A geometry-optimized Cu2SbTe structure (GGA-PBE, the Alexandria database).

POSCAR file:
```
Cu2SbTe
1.0
4.269 0.000 0.000
0.000 3.635 0.000
-1.360 0.000 5.576
Cu Sb Te
2 1 1
direct
0.177 0.000 0.208 Cu
0.823 0.000 0.792 Cu
0.500 0.500 0.000 Sb
0.000 0.500 0.500 Te
```

Summary:
For the volume, the calculation gives 87 Å³/cell. As for the total energy: -3.68 eV/atom.


No. 4
# CuSb4Te

A geometry-optimized CuSb4Te structure (GGA-PBE, the Alexandria database).

POSCAR file:
```
CuSb4Te
1.0
0.000 4.384 4.384
4.384 0.000 4.384
4.384 4.384 0.000
Cu Sb Te
1 4 1
direct
0.000 0.000 0.000 Cu
0.123 0.626 0.626 Sb
0.626 0.123 0.626 Sb
0.626 0.626 0.123 Sb
0.626 0.626 0.626 Sb
0.250 0.250 0.250 Te
```

Summary:
For the volume, the calculation gives 169 Å³/cell. As for the total energy: -3.38 eV/atom.


No. 5
# Cu2SbTe

A geometry-optimized Cu2SbTe structure (GGA-PBE, the Alexandria database).

POSCAR file:
```
Cu2SbTe
1.0
-3.087 3.087 5.278
3.087 -3.087 5.278
3.087 3.087 -5.278
Cu Sb Te
4 2 2
direct
0.123 0.625 0.998 Cu
0.375 0.373 0.498 Cu
0.627 0.125 0.002 Cu
0.875 0.877 0.502 Cu
0.250 0.750 0.500 Sb
0.500 0.500 0.000 Sb
0.000 0.000 0.000 Te
0.750 0.250 0.500 Te
```

Summary:
For the volume, the calculation gives 201 Å³/cell. As for the total energy: -3.71 eV/atom.


No. 6
# Cu2SbTe

A geometry-optimized Cu2SbTe structure (GGA-PBE, the Alexandria database).

POSCAR file:
```
Cu2SbTe
1.0
3.059 -3.703 0.000
3.059 3.703 0.000
-2.560 0.000 3.875
Cu Sb Te
2 1 1
direct
0.000 0.500 0.000 Cu
0.500 0.000 0.000 Cu
0.000 0.000 0.500 Sb
0.500 0.500 0.500 Te
```

Summary:
For the volume, the calculation gives 88 Å³/cell. As for the total energy: -3.64 eV/atom.


No. 7
# Ti2CuSbTe

A geometry-optimized Ti2CuSbTe structure (GGA-PBE, the Alexandria database).

POSCAR file:
```
Ti2CuSbTe
1.0
4.990 0.000 0.000
0.000 4.990 0.000
0.000 0.000 4.566
Ti Cu Sb Te
2 1 1 1
direct
0.000 0.500 0.000 Ti
0.500 0.000 0.000 Ti
0.000 0.000 0.000 Cu
0.000 0.000 0.500 Sb
0.500 0.500 0.500 Te
```

Summary:
For the volume, the calculation gives 114 Å³/cell. As for the total energy: -4.96 eV/atom.


No. 8
# TiCuSb2Te

A geometry-optimized TiCuSb2Te structure (GGA-PBE, the Alexandria database).

POSCAR file:
```
TiCuSb2Te
1.0
5.251 0.000 0.000
0.000 5.251 0.000
0.000 0.000 5.233
Ti Cu Sb Te
1 1 2 1
direct
0.000 0.000 0.000 Ti
0.500 0.500 0.500 Cu
0.000 0.500 0.000 Sb
0.500 0.000 0.000 Sb
0.000 0.000 0.500 Te
```

Summary:
For the volume, the calculation gives 144 Å³/cell. The calculation puts the distance to the lowest polymorph of the same formula at 0 meV per atom.


No. 9
# TiCuSb2Te

A geometry-optimized TiCuSb2Te structure (GGA-PBE, the Alexandria database).

POSCAR file:
```
TiCuSb2Te
1.0
4.997 0.000 0.000
0.000 4.997 0.000
0.000 0.000 5.276
Ti Cu Sb Te
1 1 2 1
direct
0.000 0.000 0.000 Ti
0.500 0.500 0.500 Cu
0.000 0.500 0.500 Sb
0.500 0.000 0.500 Sb
0.500 0.500 0.000 Te
```

Summary:
For the volume, the calculation gives 132 Å³/cell. The calculation puts the distance to the lowest polymorph of the same formula at 141 meV per atom.


No. 10
# TlCuSbTe2

A geometry-optimized TlCuSbTe2 structure (GGA-PBE, the Alexandria database).

POSCAR file:
```
TlCuSbTe2
1.0
5.469 0.000 0.000
0.000 5.469 0.000
0.000 0.000 4.964
Tl Cu Sb Te
1 1 1 2
direct
0.000 0.000 0.000 Tl
0.500 0.500 0.500 Cu
0.500 0.500 0.000 Sb
0.000 0.500 0.500 Te
0.500 0.000 0.500 Te
```

Summary:
For the volume, the calculation gives 148 Å³/cell. The calculation puts the distance to the lowest polymorph of the same formula at 201 meV per atom.


No. 11
# TlCuSbTe2

A geometry-optimized TlCuSbTe2 structure (GGA-PBE, the Alexandria database).

POSCAR file:
```
TlCuSbTe2
1.0
7.536 0.000 0.000
0.000 5.462 0.000
-0.564 0.000 8.118
Tl Cu Sb Te
2 2 2 4
direct
0.000 0.156 0.250 Tl
0.000 0.844 0.750 Tl
0.500 0.000 0.000 Cu
0.500 0.000 0.500 Cu
0.500 0.336 0.250 Sb
0.500 0.664 0.750 Sb
0.256 0.300 0.926 Te
0.256 0.700 0.426 Te
0.744 0.300 0.574 Te
0.744 0.700 0.074 Te
```

Summary:
For the volume, the calculation gives 334 Å³/cell. The calculation puts the distance to the lowest polymorph of the same formula at 0 meV per atom.


No. 12
# TlCuSbTe2

A geometry-optimized TlCuSbTe2 structure (GGA-PBE, the Alexandria database).

POSCAR file:
```
TlCuSbTe2
1.0
5.846 0.000 0.000
0.000 5.846 0.000
0.000 0.000 5.609
Tl Cu Sb Te
1 1 1 2
direct
0.000 0.000 0.000 Tl
0.500 0.500 0.500 Cu
0.000 0.000 0.500 Sb
0.000 0.500 0.000 Te
0.500 0.000 0.000 Te
```

Summary:
For the volume, the calculation gives 192 Å³/cell. The calculation puts the distance to the lowest polymorph of the same formula at 1113 meV per atom.


No. 13
# CuSb2TeW

A geometry-optimized CuSb2TeW structure (GGA-PBE, the Alexandria database).

POSCAR file:
```
CuSb2TeW
1.0
4.950 0.000 0.000
0.000 4.950 0.000
0.000 0.000 5.122
Cu Sb Te W
1 2 1 1
direct
0.000 0.000 0.000 Cu
0.000 0.500 0.000 Sb
0.500 0.000 0.000 Sb
0.000 0.000 0.500 Te
0.500 0.500 0.500 W
```

Summary:
For the volume, the calculation gives 126 Å³/cell. The calculation puts the distance to the lowest polymorph of the same formula at 366 meV per atom.


No. 14
# CuSbTe2W

A geometry-optimized CuSbTe2W structure (GGA-PBE, the Alexandria database).

POSCAR file:
```
CuSbTe2W
1.0
5.090 0.000 0.000
0.000 5.090 0.000
0.000 0.000 4.904
Cu Sb Te W
1 1 2 1
direct
0.000 0.000 0.000 Cu
0.000 0.000 0.500 Sb
0.000 0.500 0.000 Te
0.500 0.000 0.000 Te
0.500 0.500 0.500 W
```

Summary:
For the volume, the calculation gives 127 Å³/cell. The calculation puts the distance to the lowest polymorph of the same formula at 360 meV per atom.


No. 15
# CuSbTe2W

A geometry-optimized CuSbTe2W structure (GGA-PBE, the Alexandria database).

POSCAR file:
```
CuSbTe2W
1.0
5.257 0.000 0.000
0.000 5.257 0.000
0.000 0.000 5.330
Cu Sb Te W
1 1 2 1
direct
0.000 0.000 0.000 Cu
0.500 0.500 0.000 Sb
0.000 0.500 0.500 Te
0.500 0.000 0.500 Te
0.500 0.500 0.500 W
```

Summary:
For the volume, the calculation gives 147 Å³/cell. The calculation puts the distance to the lowest polymorph of the same formula at 0 meV per atom.


No. 16
# CuSb2TeW

A geometry-optimized CuSb2TeW structure (GGA-PBE, the Alexandria database).

POSCAR file:
```
CuSb2TeW
1.0
5.282 0.000 0.000
0.000 5.282 0.000
0.000 0.000 5.207
Cu Sb Te W
1 2 1 1
direct
0.000 0.000 0.000 Cu
0.000 0.500 0.500 Sb
0.500 0.000 0.500 Sb
0.500 0.500 0.000 Te
0.500 0.500 0.500 W
```

Summary:
For the volume, the calculation gives 145 Å³/cell. The calculation puts the distance to the lowest polymorph of the same formula at 0 meV per atom.


No. 17
# YCuSb2Te

A geometry-optimized YCuSb2Te structure (GGA-PBE, the Alexandria database).

POSCAR file:
```
YCuSb2Te
1.0
5.792 0.000 0.000
0.000 5.792 0.000
0.000 0.000 5.751
Y Cu Sb Te
1 1 2 1
direct
0.000 0.000 0.000 Y
0.500 0.500 0.500 Cu
0.000 0.500 0.000 Sb
0.500 0.000 0.000 Sb
0.000 0.000 0.500 Te
```

Summary:
For the volume, the calculation gives 193 Å³/cell. The calculation puts the distance to the lowest polymorph of the same formula at 610 meV per atom.


No. 18
# YCuSb2Te

A geometry-optimized YCuSb2Te structure (GGA-PBE, the Alexandria database).

POSCAR file:
```
YCuSb2Te
1.0
5.068 0.000 0.000
0.000 5.068 0.000
0.000 0.000 5.305
Y Cu Sb Te
1 1 2 1
direct
0.000 0.000 0.000 Y
0.500 0.500 0.500 Cu
0.000 0.500 0.500 Sb
0.500 0.000 0.500 Sb
0.500 0.500 0.000 Te
```

Summary:
For the volume, the calculation gives 136 Å³/cell. The calculation puts the distance to the lowest polymorph of the same formula at 0 meV per atom.


No. 19
# ZnCuSbTe2

A geometry-optimized ZnCuSbTe2 structure (GGA-PBE, the Alexandria database).

POSCAR file:
```
ZnCuSbTe2
1.0
5.364 0.000 0.000
0.000 5.364 0.000
0.000 0.000 5.077
Zn Cu Sb Te
1 1 1 2
direct
0.000 0.000 0.000 Zn
0.500 0.500 0.500 Cu
0.000 0.000 0.500 Sb
0.000 0.500 0.000 Te
0.500 0.000 0.000 Te
```

Summary:
For the volume, the calculation gives 146 Å³/cell. The calculation puts the distance to the lowest polymorph of the same formula at 271 meV per atom.


No. 20
# ZnCuSbTe2

A geometry-optimized ZnCuSbTe2 structure (GGA-PBE, the Alexandria database).

POSCAR file:
```
ZnCuSbTe2
1.0
5.304 0.000 0.000
0.000 5.304 0.000
0.000 0.000 4.923
Zn Cu Sb Te
1 1 1 2
direct
0.000 0.000 0.000 Zn
0.500 0.500 0.500 Cu
0.500 0.500 0.000 Sb
0.000 0.500 0.500 Te
0.500 0.000 0.500 Te
```

Summary:
For the volume, the calculation gives 139 Å³/cell. The calculation puts the distance to the lowest polymorph of the same formula at 0 meV per atom.


No. 21
# ZrCuSbTe2

A geometry-optimized ZrCuSbTe2 structure (GGA-PBE, the Alexandria database).

POSCAR file:
```
ZrCuSbTe2
1.0
5.107 0.000 0.000
0.000 5.107 0.000
0.000 0.000 5.017
Zr Cu Sb Te
1 1 1 2
direct
0.000 0.000 0.000 Zr
0.500 0.500 0.500 Cu
0.500 0.500 0.000 Sb
0.000 0.500 0.500 Te
0.500 0.000 0.500 Te
```

Summary:
For the volume, the calculation gives 131 Å³/cell. The calculation puts the distance to the lowest polymorph of the same formula at 0 meV per atom.


No. 22
# ZrCuSbTe2

A geometry-optimized ZrCuSbTe2 structure (GGA-PBE, the Alexandria database).

POSCAR file:
```
ZrCuSbTe2
1.0
5.552 0.000 0.000
0.000 5.552 0.000
0.000 0.000 5.596
Zr Cu Sb Te
1 1 1 2
direct
0.000 0.000 0.000 Zr
0.500 0.500 0.500 Cu
0.000 0.000 0.500 Sb
0.000 0.500 0.000 Te
0.500 0.000 0.000 Te
```

Summary:
For the volume, the calculation gives 172 Å³/cell. The calculation puts the distance to the lowest polymorph of the same formula at 19 meV per atom.


No. 23
# Th3CuSb2

A geometry-optimized Th3CuSb2 structure (GGA-PBE, the Alexandria database).

POSCAR file:
```
Th3CuSb2
1.0
7.043 -3.145 0.000
7.043 3.145 0.000
-2.602 0.000 8.161
Th Cu Sb
6 2 4
direct
0.000 0.000 0.250 Th
0.000 0.000 0.750 Th
0.349 0.349 0.424 Th
0.349 0.349 0.924 Th
0.651 0.651 0.076 Th
0.651 0.651 0.576 Th
0.500 0.500 0.250 Cu
0.500 0.500 0.750 Cu
0.175 0.175 0.087 Sb
0.175 0.175 0.587 Sb
0.825 0.825 0.413 Sb
0.825 0.825 0.913 Sb
```

Summary:
For the volume, the calculation gives 362 Å³/cell. The calculation puts the distance to the lowest polymorph of the same formula at 60 meV per atom.


No. 24
# Th2CuSb4

A geometry-optimized Th2CuSb4 structure (GGA-PBE, the Alexandria database).

POSCAR file:
```
Th2CuSb4
1.0
4.440 0.000 0.000
0.000 4.440 0.000
0.000 0.000 9.552
Th Cu Sb
2 1 4
direct
0.000 0.500 0.238 Th
0.500 0.000 0.762 Th
0.500 0.500 0.000 Cu
0.000 0.000 0.500 Sb
0.000 0.500 0.853 Sb
0.500 0.000 0.147 Sb
0.500 0.500 0.500 Sb
```

Summary:
For the volume, the calculation gives 188 Å³/cell. As for the total energy: -5.77 eV/atom.


No. 25
# ThCuSb2

A geometry-optimized ThCuSb2 structure (GGA-PBE, the Alexandria database).

POSCAR file:
```
ThCuSb2
1.0
2.258 1.304 8.558
-2.258 1.304 8.558
0.000 -2.607 8.558
Th Cu Sb
1 1 2
direct
0.000 0.000 0.000 Th
0.500 0.500 0.500 Cu
0.404 0.404 0.404 Sb
0.596 0.596 0.596 Sb
```

Summary:
For the volume, the calculation gives 151 Å³/cell. As for the total energy: -4.88 eV/atom.


No. 26
# Th4CuSb

A geometry-optimized Th4CuSb structure (GGA-PBE, the Alexandria database).

POSCAR file:
```
Th4CuSb
1.0
8.068 -3.077 0.000
8.068 3.077 0.000
-2.227 0.000 7.188
Th Cu Sb
8 2 2
direct
0.023 0.812 0.528 Th
0.188 0.977 0.972 Th
0.219 0.436 0.873 Th
0.436 0.219 0.373 Th
0.564 0.781 0.627 Th
0.781 0.564 0.127 Th
0.812 0.023 0.028 Th
0.977 0.188 0.472 Th
0.000 0.500 0.500 Cu
0.500 0.000 0.000 Cu
0.397 0.603 0.250 Sb
0.603 0.397 0.750 Sb
```

Summary:
For the volume, the calculation gives 357 Å³/cell. As for the total energy: -6.40 eV/atom.


No. 27
# ThCuSb2

A geometry-optimized ThCuSb2 structure (GGA-PBE, the Alexandria database).

POSCAR file:
```
ThCuSb2
1.0
4.784 0.000 0.000
0.000 4.784 0.000
0.000 0.000 4.267
Th Cu Sb
1 1 2
direct
0.000 0.000 0.000 Th
0.500 0.500 0.000 Cu
0.000 0.500 0.500 Sb
0.500 0.000 0.500 Sb
```

Summary:
For the volume, the calculation gives 98 Å³/cell. As for the total energy: -5.33 eV/atom.


No. 28
# Th4CuSb2

A geometry-optimized Th4CuSb2 structure (GGA-PBE, the Alexandria database).

POSCAR file:
```
Th4CuSb2
1.0
8.005 -2.102 0.000
8.005 2.102 0.000
-3.264 0.000 6.540
Th Cu Sb
4 1 2
direct
0.107 0.107 0.264 Th
0.392 0.392 0.207 Th
0.608 0.608 0.793 Th
0.893 0.893 0.736 Th
0.000 0.000 0.500 Cu
0.245 0.245 0.739 Sb
0.755 0.755 0.261 Sb
```

Summary:
For the volume, the calculation gives 220 Å³/cell. As for the total energy: -6.33 eV/atom.